Below is RbCoGeO4 after structural relaxation, with properties calculated at the PBE with a Hubbard U level.

DFT total energy   -79.386 eV/cell
Spin magnetization   7.99 Bohr magnetons per cell
SG   P2_1/m, No. 11

Structure (extended XYZ):
```
14
Lattice="5.352 0.000 0.000 0.000 5.645 0.000 -1.166 0.000 7.130" Properties=species:S:1:pos:R:3 pbc="T T T"
Rb 0.802 1.411 0.649
Rb 3.383 4.234 6.480
Co 0.319 4.234 3.396
Co 3.866 1.411 3.734
Ge 1.263 1.411 4.584
Ge 2.923 4.234 2.546
O -0.018 0.126 4.676
O -0.018 2.696 4.676
O 1.452 4.234 1.566
O 2.055 1.411 3.003
O 2.131 4.234 4.127
O 2.733 1.411 5.563
O 4.204 2.949 2.454
O 4.204 5.518 2.454
```